# TbNd2Te2As2

TbNd2Te2As2 after structural relaxation (GGA-PBE, Alexandria via LeMat-Bulk).

## Properties
- density (kg/m3) = 6276
- raw formation energy (eV/atom) = -1.0112
- space-group type = I4/mmm (139)
- magnetic moment (μB/f.u.) = 0.00
- final energy (eV/atom) = -5.261

Structure (POSCAR):
```
TbNd2Te2As2
1.0
5.351 0.000 0.000
0.000 5.351 0.000
-2.676 -2.676 7.877
Tb Te As Nd
1 2 2 2
Direct
0.000 0.000 0.000 Tb
0.193 0.193 0.386 Te
0.807 0.807 0.614 Te
0.000 0.500 0.000 As
0.500 0.000 0.000 As
0.387 0.387 0.775 Nd
0.613 0.613 0.225 Nd
```